Record 1
# AlTcPb (GGA-PBE, relaxed)
data_AlTcPb
_chemical_formula_sum 'Al1 Tc1 Pb1'
_symmetry_space_group_name_H-M 'P -6 m 2'
_symmetry_Int_Tables_number 187
_symmetry_space_group_name_Hall 'P -6 2'
_cell_length_a 4.3585
_cell_length_b 4.3585
_cell_length_c 3.5019
_cell_angle_alpha 90.00
_cell_angle_beta 90.00
_cell_angle_gamma 120.00
loop_
_atom_site_label
_atom_site_fract_x
_atom_site_fract_y
_atom_site_fract_z
Al1 0.0000 0.0000 0.0000
Tc1 0.3333 0.6667 0.0000
Pb1 0.6667 0.3333 0.5000
# VASP energy   -5.543 eV per atom

Record 2
# UAlPbO6 (GGA-PBE, relaxed)
data_UAlPbO6
_chemical_formula_sum 'U2 Al2 Pb2 O12'
_symmetry_space_group_name_H-M 'P -3 1 c'
_symmetry_Int_Tables_number 163
_symmetry_space_group_name_Hall '-P 3 2c'
_cell_length_a 5.3604
_cell_length_b 5.3604
_cell_length_c 9.9849
_cell_angle_alpha 90.00
_cell_angle_beta 90.00
_cell_angle_gamma 120.00
loop_
_atom_site_label
_atom_site_fract_x
_atom_site_fract_y
_atom_site_fract_z
U1 0.3333 0.6667 0.2500
Al1 0.3333 0.6667 0.7500
Pb1 0.0000 0.0000 0.0000
O1 0.0208 0.3765 0.6431
# VASP energy   -7.769 eV per atom
# Formation energy (no corrections)   -2.3813 eV per atom

Record 3
# Cs2CdRhO4 (GGA-PBE, relaxed)
data_Cs2CdRhO4
_chemical_formula_sum 'Cs16 Cd8 Rh8 O32'
_symmetry_space_group_name_H-M 'F d d d'
_symmetry_Int_Tables_number 70
_cell_length_a 6.252
_cell_length_b 12.960
_cell_length_c 21.410
_cell_angle_alpha 90.00
_cell_angle_beta 90.00
_cell_angle_gamma 90.00
loop_
_symmetry_equiv_pos_as_xyz
'x,y,z'
'-x,-y,-z'
'-x+1/4,-y+1/4,z'
'x+1/4,y+1/4,-z'
'x,-y+1/4,-z+1/4'
'-x,y+1/4,z+1/4'
'-x+1/4,y,-z+1/4'
'x+1/4,-y,z+1/4'
'x,y+1/2,z+1/2'
'-x,-y+1/2,-z+1/2'
'-x+1/4,-y+3/4,z+1/2'
'x+1/4,y+3/4,-z+1/2'
'x,-y+3/4,-z+3/4'
'-x,y+3/4,z+3/4'
'-x+1/4,y+1/2,-z+3/4'
'x+1/4,-y+1/2,z+3/4'
'x+1/2,y,z+1/2'
'-x+1/2,-y,-z+1/2'
'-x+3/4,-y+1/4,z+1/2'
'x+3/4,y+1/4,-z+1/2'
'x+1/2,-y+1/4,-z+3/4'
'-x+1/2,y+1/4,z+3/4'
'-x+3/4,y,-z+3/4'
'x+3/4,-y,z+3/4'
'x+1/2,y+1/2,z'
'-x+1/2,-y+1/2,-z'
'-x+3/4,-y+3/4,z'
'x+3/4,y+3/4,-z'
'x+1/2,-y+3/4,-z+1/4'
'-x+1/2,y+3/4,z+1/4'
'-x+3/4,y+1/2,-z+1/4'
'x+3/4,-y+1/2,z+1/4'
loop_
_atom_site_label
_atom_site_fract_x
_atom_site_fract_y
_atom_site_fract_z
Cs1 0.125 0.125 0.307
Cd1 0.125 0.125 0.125
Rh1 0.125 0.125 0.625
O1 0.092 0.286 0.841
# VASP energy   -4.566 eV per atom
# Formation energy (no corrections)   -0.8403 eV per atom

Record 4
# AcPrAu2 (GGA-PBE, relaxed)
data_AcPrAu2
_chemical_formula_sum 'Ac4 Pr4 Au8'
_symmetry_space_group_name_H-M 'F m -3 m'
_symmetry_Int_Tables_number 225
_symmetry_space_group_name_Hall '-F 4 2 3'
_cell_length_a 7.665
_cell_length_b 7.665
_cell_length_c 7.665
_cell_angle_alpha 90.00
_cell_angle_beta 90.00
_cell_angle_gamma 90.00
loop_
_atom_site_label
_atom_site_fract_x
_atom_site_fract_y
_atom_site_fract_z
Ac1 0.000 0.000 0.000
Pr1 0.000 0.000 0.500
Au1 0.250 0.250 0.250
# VASP energy   -4.600 eV per atom

Record 5
# KThInI6 (GGA-PBE, relaxed)
data_KThInI6
_chemical_formula_sum 'K2 Th2 In2 I12'
_symmetry_space_group_name_H-M 'P -3 1 c'
_symmetry_Int_Tables_number 163
_symmetry_space_group_name_Hall '-P 3 2c'
_cell_length_a 8.5547
_cell_length_b 8.5547
_cell_length_c 14.8544
_cell_angle_alpha 90.00
_cell_angle_beta 90.00
_cell_angle_gamma 120.00
loop_
_atom_site_label
_atom_site_fract_x
_atom_site_fract_y
_atom_site_fract_z
K1 0.0000 0.0000 0.0000
Th1 0.3333 0.6667 0.2500
In1 0.3333 0.6667 0.7500
I1 0.0342 0.3750 0.1311
# VASP energy   -3.412 eV per atom
# Formation energy (no corrections)   -1.1282 eV per atom

Record 6
# AcIn4Co (GGA-PBE, relaxed)
data_AcIn4Co
_chemical_formula_sum 'Ac4 In16 Co4'
_symmetry_space_group_name_H-M 'C m c m'
_symmetry_Int_Tables_number 63
_symmetry_space_group_name_Hall '-C 2c 2'
_cell_length_a 4.585
_cell_length_b 17.417
_cell_length_c 7.323
_cell_angle_alpha 90.00
_cell_angle_beta 90.00
_cell_angle_gamma 90.00
loop_
_atom_site_label
_atom_site_fract_x
_atom_site_fract_y
_atom_site_fract_z
Ac1 0.000 0.119 0.250
In1 0.000 0.080 0.750
In2 0.000 0.308 0.051
In3 0.000 0.500 0.000
Co1 0.000 0.227 0.750
# VASP energy   -3.974 eV per atom

Record 7
# MgMn2Cl (GGA-PBE, relaxed)
data_MgMn2Cl
_chemical_formula_sum 'Mg2 Mn4 Cl2'
_symmetry_space_group_name_H-M 'I -4 m 2'
_symmetry_Int_Tables_number 119
_symmetry_space_group_name_Hall 'I -4 -2'
_cell_length_a 3.949
_cell_length_b 3.949
_cell_length_c 9.523
_cell_angle_alpha 90.00
_cell_angle_beta 90.00
_cell_angle_gamma 90.00
loop_
_atom_site_label
_atom_site_fract_x
_atom_site_fract_y
_atom_site_fract_z
Mg1 0.000 0.000 0.000
Mn1 0.000 0.000 0.500
Mn2 0.000 0.500 0.750
Cl1 0.000 0.500 0.250
# VASP energy   -5.024 eV per atom
# Formation energy (no corrections)   0.4211 eV per atom

Record 8
# CeGdTmSc (GGA-PBE, relaxed)
data_CeGdTmSc
_chemical_formula_sum 'Ce4 Gd4 Tm4 Sc4'
_symmetry_space_group_name_H-M 'F -4 3 m'
_symmetry_Int_Tables_number 216
_symmetry_space_group_name_Hall 'F -4 2 3'
_cell_length_a 7.790
_cell_length_b 7.790
_cell_length_c 7.790
_cell_angle_alpha 90.00
_cell_angle_beta 90.00
_cell_angle_gamma 90.00
loop_
_atom_site_label
_atom_site_fract_x
_atom_site_fract_y
_atom_site_fract_z
Ce1 0.000 0.000 0.000
Gd1 0.000 0.000 0.500
Tm1 0.250 0.250 0.250
Sc1 0.250 0.250 0.750
# VASP energy   -7.582 eV per atom

Record 9
# ScPtW2 (GGA-PBE, relaxed)
data_ScPtW2
_chemical_formula_sum 'Sc1 Pt1 W2'
_symmetry_space_group_name_H-M 'P 4/m m m'
_symmetry_Int_Tables_number 123
_symmetry_space_group_name_Hall '-P 4 2'
_cell_length_a 3.433
_cell_length_b 3.433
_cell_length_c 5.798
_cell_angle_alpha 90.00
_cell_angle_beta 90.00
_cell_angle_gamma 90.00
loop_
_atom_site_label
_atom_site_fract_x
_atom_site_fract_y
_atom_site_fract_z
Sc1 0.000 0.000 0.000
Pt1 0.000 0.000 0.500
W1 0.500 0.500 0.268
# VASP energy   -9.303 eV per atom

Record 10
# LiMg2Co2 (GGA-PBE, relaxed)
data_LiMg2Co2
_chemical_formula_sum 'Li2 Mg4 Co4'
_symmetry_space_group_name_H-M 'I 4/m m m'
_symmetry_Int_Tables_number 139
_symmetry_space_group_name_Hall '-I 4 2'
_cell_length_a 4.857
_cell_length_b 4.857
_cell_length_c 7.458
_cell_angle_alpha 90.00
_cell_angle_beta 90.00
_cell_angle_gamma 90.00
loop_
_atom_site_label
_atom_site_fract_x
_atom_site_fract_y
_atom_site_fract_z
Li1 0.000 0.000 0.000
Mg1 0.000 0.500 0.250
Co1 0.000 0.000 0.358
# VASP energy   -3.451 eV per atom

Record 11
# GeBi2WSe (GGA-PBE, relaxed)
data_GeBi2WSe
_chemical_formula_sum 'Ge1 Bi2 W1 Se1'
_symmetry_space_group_name_H-M 'P 4/m m m'
_symmetry_Int_Tables_number 123
_symmetry_space_group_name_Hall '-P 4 2'
_cell_length_a 5.374
_cell_length_b 5.374
_cell_length_c 4.865
_cell_angle_alpha 90.00
_cell_angle_beta 90.00
_cell_angle_gamma 90.00
loop_
_atom_site_label
_atom_site_fract_x
_atom_site_fract_y
_atom_site_fract_z
Ge1 0.000 0.000 0.000
Bi1 0.000 0.500 0.500
W1 0.000 0.000 0.500
Se1 0.500 0.500 0.000
# VASP energy   -5.257 eV per atom
# Formation energy (no corrections)   0.5065 eV per atom

Record 12
# AcLa2Ge6 (GGA-PBE, relaxed)
data_AcLa2Ge6
_chemical_formula_sum 'Ac1 La2 Ge6'
_symmetry_space_group_name_H-M 'P 6/m m m'
_symmetry_Int_Tables_number 191
_symmetry_space_group_name_Hall '-P 6 2'
_cell_length_a 7.7447
_cell_length_b 7.7447
_cell_length_c 4.3492
_cell_angle_alpha 90.00
_cell_angle_beta 90.00
_cell_angle_gamma 120.00
loop_
_atom_site_label
_atom_site_fract_x
_atom_site_fract_y
_atom_site_fract_z
Ac1 0.0000 0.0000 0.0000
La1 0.3333 0.6667 0.0000
Ge1 0.0000 0.3363 0.5000
# VASP energy   -5.266 eV per atom

Record 13
# La5Tb2Y4 (GGA-PBE, relaxed)
data_La5Tb2Y4
_chemical_formula_sum 'La10 Tb4 Y8'
_symmetry_space_group_name_H-M 'C 1 2/m 1'
_symmetry_Int_Tables_number 12
_cell_length_a 17.973
_cell_length_b 3.577
_cell_length_c 11.800
_cell_angle_alpha 90.00
_cell_angle_beta 93.86
_cell_angle_gamma 90.00
loop_
_symmetry_equiv_pos_as_xyz
'x,y,z'
'-x,-y,-z'
'-x,y,-z'
'x,-y,z'
'x+1/2,y+1/2,z'
'-x+1/2,-y+1/2,-z'
'-x+1/2,y+1/2,-z'
'x+1/2,-y+1/2,z'
loop_
_atom_site_label
_atom_site_fract_x
_atom_site_fract_y
_atom_site_fract_z
La1 0.000 0.000 0.000
La2 0.097 0.500 0.535
La3 0.177 0.500 0.074
Tb1 0.216 0.000 0.353
Y1 0.036 0.500 0.263
Y2 0.141 0.000 0.798
# VASP energy   -5.357 eV per atom

Record 14
# CdOsBr (GGA-PBE, relaxed)
data_CdOsBr
_chemical_formula_sum 'Cd1 Os1 Br1'
_symmetry_space_group_name_H-M 'P -6 m 2'
_symmetry_Int_Tables_number 187
_symmetry_space_group_name_Hall 'P -6 2'
_cell_length_a 4.5569
_cell_length_b 4.5569
_cell_length_c 3.1346
_cell_angle_alpha 90.00
_cell_angle_beta 90.00
_cell_angle_gamma 120.00
loop_
_atom_site_label
_atom_site_fract_x
_atom_site_fract_y
_atom_site_fract_z
Cd1 0.0000 0.0000 0.0000
Os1 0.6667 0.3333 0.5000
Br1 0.3333 0.6667 0.5000
# VASP energy   -3.554 eV per atom
# Formation energy (no corrections)   1.0515 eV per atom

Record 15
# KGa3Ir (GGA-PBE, relaxed)
data_KGa3Ir
_chemical_formula_sum 'K1 Ga3 Ir1'
_symmetry_space_group_name_H-M 'P m -3 m'
_symmetry_Int_Tables_number 221
_symmetry_space_group_name_Hall '-P 4 2 3'
_cell_length_a 5.284
_cell_length_b 5.284
_cell_length_c 5.284
_cell_angle_alpha 90.00
_cell_angle_beta 90.00
_cell_angle_gamma 90.00
loop_
_atom_site_label
_atom_site_fract_x
_atom_site_fract_y
_atom_site_fract_z
K1 0.000 0.000 0.000
Ga1 0.000 0.000 0.500
Ir1 0.500 0.500 0.500
# VASP energy   -1.929 eV per atom

Record 16
# K2Cd10Ag (GGA-PBE, relaxed)
data_K2Cd10Ag
_chemical_formula_sum 'K4 Cd20 Ag2'
_symmetry_space_group_name_H-M 'P b a m'
_symmetry_Int_Tables_number 55
_cell_length_a 6.295
_cell_length_b 19.485
_cell_length_c 6.819
_cell_angle_alpha 90.00
_cell_angle_beta 90.00
_cell_angle_gamma 90.00
loop_
_symmetry_equiv_pos_as_xyz
'x,y,z'
'-x,-y,-z'
'-x,-y,z'
'x,y,-z'
'x+1/2,-y+1/2,-z'
'-x+1/2,y+1/2,z'
'-x+1/2,y+1/2,-z'
'x+1/2,-y+1/2,z'
loop_
_atom_site_label
_atom_site_fract_x
_atom_site_fract_y
_atom_site_fract_z
K1 0.200 0.144 0.000
Cd1 0.021 0.280 0.500
Cd2 0.085 0.860 0.500
Cd3 0.130 0.581 0.500
Cd4 0.207 0.456 0.205
Ag1 0.000 0.000 0.500
# VASP energy   -1.088 eV per atom

Record 17
# Hf4Al5Au2 (GGA-PBE, relaxed)
data_Hf4Al5Au2
_chemical_formula_sum 'Hf4 Al5 Au2'
_symmetry_space_group_name_H-M 'P 1 2/m 1'
_symmetry_Int_Tables_number 10
_cell_length_a 7.143
_cell_length_b 3.044
_cell_length_c 9.443
_cell_angle_alpha 90.00
_cell_angle_beta 93.82
_cell_angle_gamma 90.00
loop_
_symmetry_equiv_pos_as_xyz
'x,y,z'
'-x,-y,-z'
'-x,y,-z'
'x,-y,z'
loop_
_atom_site_label
_atom_site_fract_x
_atom_site_fract_y
_atom_site_fract_z
Hf1 0.165 0.000 0.397
Hf2 0.288 0.000 0.946
Al1 0.198 0.500 0.665
Al2 0.435 0.500 0.206
Al3 0.500 0.500 0.500
Au1 0.061 0.500 0.144
# VASP energy   -6.336 eV per atom

Record 18
# AuBrO2 (GGA-PBE, relaxed)
data_AuBrO2
_chemical_formula_sum 'Au4 Br4 O8'
_symmetry_space_group_name_H-M 'C 2 2 21'
_symmetry_Int_Tables_number 20
_cell_length_a 7.500
_cell_length_b 11.753
_cell_length_c 4.134
_cell_angle_alpha 90.00
_cell_angle_beta 90.00
_cell_angle_gamma 90.00
loop_
_symmetry_equiv_pos_as_xyz
'x,y,z'
'-x,-y,z+1/2'
'x,-y,-z'
'-x,y,-z+1/2'
'x+1/2,y+1/2,z'
'-x+1/2,-y+1/2,z+1/2'
'x+1/2,-y+1/2,-z'
'-x+1/2,y+1/2,-z+1/2'
loop_
_atom_site_label
_atom_site_fract_x
_atom_site_fract_y
_atom_site_fract_z
Au1 0.237 0.000 0.000
Br1 0.000 0.130 0.250
O1 0.086 0.404 0.785
# VASP energy   -3.694 eV per atom
# Formation energy (no corrections)   0.0226 eV per atom

Record 19
# HfZr12Zn3 (GGA-PBE, relaxed)
data_HfZr12Zn3
_chemical_formula_sum 'Hf1 Zr12 Zn3'
_symmetry_space_group_name_H-M 'P 4/m m m'
_symmetry_Int_Tables_number 123
_symmetry_space_group_name_Hall '-P 4 2'
_cell_length_a 4.413
_cell_length_b 4.413
_cell_length_c 17.550
_cell_angle_alpha 90.00
_cell_angle_beta 90.00
_cell_angle_gamma 90.00
loop_
_atom_site_label
_atom_site_fract_x
_atom_site_fract_y
_atom_site_fract_z
Hf1 0.000 0.000 0.000
Zr1 0.000 0.500 0.129
Zr2 0.000 0.500 0.377
Zr3 0.500 0.500 0.000
Zr4 0.500 0.500 0.257
Zr5 0.500 0.500 0.500
Zn1 0.000 0.000 0.256
Zn2 0.000 0.000 0.500
# VASP energy   -7.357 eV per atom

Record 20
# CaTmTh (GGA-PBE, relaxed)
data_CaTmTh
_chemical_formula_sum 'Ca6 Tm6 Th6'
_symmetry_space_group_name_H-M 'R -3 m'
_symmetry_Int_Tables_number 166
_symmetry_space_group_name_Hall '-R 3 2"'
_cell_length_a 3.5774
_cell_length_b 3.5774
_cell_length_c 56.0781
_cell_angle_alpha 90.00
_cell_angle_beta 90.00
_cell_angle_gamma 120.00
loop_
_atom_site_label
_atom_site_fract_x
_atom_site_fract_y
_atom_site_fract_z
Ca1 0.0000 0.0000 0.1955
Tm1 0.0000 0.0000 0.2562
Th1 0.0000 0.0000 0.3601
# VASP energy   -4.467 eV per atom